Entry 1:
This record from Alexandria via LeMat-Bulk describes a relaxed structure of TlCdAs2. The functional is GGA-PBE.

V	23.2	Å³ per atom
ΔH_f (0 K)	331	meV per atom
symmetry	Fm-3m (225)

The structure in POSCAR format:
```
TlCdAs2
1.0
0.0000 3.5956 3.5956
3.5956 0.0000 3.5956
3.5956 3.5956 0.0000
Tl As Cd
1 2 1
Direct
0.5000 0.5000 0.5000
0.2500 0.2500 0.2500
0.7500 0.7500 0.7500
0.0000 0.0000 0.0000
```

***

Entry 2:
This record from Alexandria via LeMat-Bulk describes a relaxed structure of TlCdAs2. The functional is GGA-PBE.

V	23.2	Å³ per atom
ΔH_f (0 K)	279	meV per atom
symmetry	C2/m (12)

The structure in POSCAR format:
```
TlCdAs2
1.0
-3.5469 -4.4801 -0.4700
3.7459 0.4382 -4.3184
2.0173 -2.0894 1.1525
Tl As Cd
1 2 1
Direct
0.0000 0.5000 0.5000
0.0000 0.0000 0.0000
0.5000 0.5000 0.0000
0.5000 0.0000 0.5000
```

***

Entry 3:
This record from Alexandria via LeMat-Bulk describes a relaxed structure of TlCdAs2. The functional is GGA-PBE.

V	25.4	Å³ per atom
ΔH_f (0 K)	112	meV per atom
symmetry	Pmmm (47)

The structure in POSCAR format:
```
TlCdAs2
1.0
-1.6995 2.8769 1.9204
-3.3873 -1.2609 -1.1088
-3.7572 -5.2811 4.5863
Tl As Cd
1 2 1
Direct
0.5000 0.7500 0.7500
0.0000 0.9276 0.0722
0.0000 0.5724 0.4278
0.5000 0.2500 0.2500
```

***

Entry 4:
This record from Alexandria via LeMat-Bulk describes a relaxed structure of Tl12Cd3As5. The functional is GGA-PBE.

V	32.8	Å³ per atom
ΔH_f (0 K)	137	meV per atom
symmetry	Ia-3d (230)

The structure in POSCAR format:
```
Tl12Cd3As5
1.0
15.0509 0.0000 0.0000
-5.0170 14.1901 0.0000
-5.0170 -7.0950 12.2890
Cd As Tl
12 20 48
Direct
0.7500 0.3750 0.1250
0.8750 0.7500 0.1250
0.3750 0.7500 0.6250
0.2500 0.1250 0.3750
0.8750 0.1250 0.2500
0.3750 0.6250 0.2500
0.6250 0.3750 0.7500
0.1250 0.8750 0.7500
0.7500 0.8750 0.6250
0.6250 0.2500 0.3750
0.1250 0.2500 0.8750
0.2500 0.6250 0.8750
0.1250 0.3750 0.2500
0.0000 0.5000 0.0000
0.0000 0.0000 0.0000
0.3750 0.2500 0.1250
0.5000 0.0000 0.5000
0.5000 0.5000 0.0000
0.1250 0.7500 0.3750
0.7500 0.1250 0.8750
0.7500 0.6250 0.3750
0.3750 0.1250 0.7500
0.6250 0.8750 0.2500
0.5000 0.5000 0.5000
0.5000 0.0000 0.0000
0.0000 0.0000 0.5000
0.2500 0.3750 0.6250
0.2500 0.8750 0.1250
0.0000 0.5000 0.5000
0.8750 0.2500 0.6250
0.6250 0.7500 0.8750
0.8750 0.6250 0.7500
0.7252 0.1215 0.0505
0.3253 0.5505 0.4290
0.9495 0.3785 0.2748
0.5505 0.2252 0.1215
0.6038 0.7252 0.6747
0.9495 0.5710 0.1747
0.3253 0.7748 0.3962
0.0710 0.8962 0.1215
0.5710 0.9495 0.6747
0.7252 0.6038 0.1747
0.7748 0.4495 0.3785
0.8253 0.9290 0.0505
0.1215 0.7252 0.5505
0.3785 0.4290 0.1038
0.1038 0.9290 0.3785
0.3962 0.1215 0.5710
0.1038 0.1747 0.2252
0.4495 0.6747 0.0710
0.8253 0.8962 0.2748
0.1215 0.3962 0.0710
0.3785 0.9495 0.7748
0.5710 0.6215 0.3962
0.9290 0.8253 0.5505
0.7748 0.3253 0.8962
0.4290 0.3785 0.6038
0.0710 0.1747 0.4495
0.2252 0.6747 0.1038
0.1747 0.1038 0.7252
0.6215 0.0505 0.2252
0.8785 0.6038 0.9290
0.5505 0.3253 0.9290
0.6038 0.8785 0.4290
0.8962 0.8253 0.7748
0.8962 0.0710 0.6215
0.8785 0.2748 0.4495
0.1747 0.0710 0.9495
0.6215 0.5710 0.8962
0.4290 0.0505 0.3253
0.2748 0.3962 0.8253
0.2252 0.5505 0.6215
0.9290 0.1038 0.8785
0.6747 0.2252 0.6038
0.4495 0.7748 0.8785
0.0505 0.4290 0.8253
0.3962 0.2748 0.3253
0.0505 0.6215 0.7252
0.6747 0.4495 0.5710
0.2748 0.8785 0.9495
```

***

Entry 5:
This record from Alexandria via LeMat-Bulk describes a relaxed structure of Tl2CdAs. The functional is GGA-PBE.

V	27.4	Å³ per atom
ΔH_f (0 K)	124	meV per atom
symmetry	Pmmm (47)

The structure in POSCAR format:
```
Tl2CdAs
1.0
-1.5305 2.3188 1.7149
-0.4460 -2.5910 3.1054
7.2419 2.4802 3.1095
Tl As Cd
2 1 1
Direct
0.0000 0.0000 0.0251
0.0000 0.0000 0.4749
0.5000 0.5000 0.2500
0.5000 0.5000 0.7500
```

***

Entry 6:
This record from Alexandria via LeMat-Bulk describes a relaxed structure of TlCdAs2. The functional is GGA-PBE.

V	23.2	Å³ per atom
ΔH_f (0 K)	284	meV per atom
symmetry	Cmmm (65)

The structure in POSCAR format:
```
TlCdAs2
1.0
-5.7177 -1.0770 -0.1881
3.3547 -3.4093 -3.3182
0.2941 -1.9665 2.3179
Tl As Cd
1 2 1
Direct
0.0000 0.5000 0.5000
0.0000 0.0000 0.0000
0.5000 0.5000 0.0000
0.5000 0.0000 0.5000
```